one | Compound: Ag2Sn2I
Source: the Alexandria database
Functional: PBE
Structure: relaxed

Results
- Fermi-level density of states (states/eV per cell) = 3.4

CIF file:
```
data_Ag2Sn2I
_chemical_formula_sum 'Ag4 Sn4 I2'
_cell_length_a 8.4430
_cell_length_b 8.4430
_cell_length_c 3.6451
_cell_angle_alpha 90.00
_cell_angle_beta 90.00
_cell_angle_gamma 90.00
_space_group_name_H-M_alt 'P 4/m b m'
_space_group_IT_number 127
_space_group_name_Hall '-P 4 2ab'
loop_
_atom_site_label
_atom_site_fract_x
_atom_site_fract_y
_atom_site_fract_z
_atom_site_occupancy
Ag1 0.1614 0.3386 0.0000 1
Sn1 0.1283 0.6283 0.5000 1
I1 0.0000 0.0000 0.0000 1
```

=====

two | Compound: Ag2Sn2I
Source: the Alexandria database
Functional: PBE
Structure: relaxed

Results
- Fermi-level density of states (states/eV per cell) = 3.8

CIF file:
```
data_Ag2Sn2I
_chemical_formula_sum 'Ag4 Sn4 I2'
_cell_length_a 4.4117
_cell_length_b 4.4117
_cell_length_c 13.8603
_cell_angle_alpha 90.00
_cell_angle_beta 90.00
_cell_angle_gamma 90.00
_space_group_name_H-M_alt 'I 4/m m m'
_space_group_IT_number 139
_space_group_name_Hall '-I 4 2'
loop_
_atom_site_label
_atom_site_fract_x
_atom_site_fract_y
_atom_site_fract_z
_atom_site_occupancy
Ag1 0.0000 0.0000 0.1047 1
Sn1 0.0000 0.5000 0.2500 1
I1 0.0000 0.0000 0.5000 1
```

=====

three | Compound: Ag2Sn2I
Source: the Alexandria database
Functional: PBE
Structure: relaxed

Results
- Fermi-level density of states (states/eV per cell) = 4.3

CIF file:
```
data_Ag2Sn2I
_chemical_formula_sum 'Ag4 Sn4 I2'
_cell_length_a 8.5615
_cell_length_b 8.5615
_cell_length_c 3.5906
_cell_angle_alpha 90.00
_cell_angle_beta 90.00
_cell_angle_gamma 90.00
_space_group_name_H-M_alt 'P 4/m b m'
_space_group_IT_number 127
_space_group_name_Hall '-P 4 2ab'
loop_
_atom_site_label
_atom_site_fract_x
_atom_site_fract_y
_atom_site_fract_z
_atom_site_occupancy
Ag1 0.1580 0.3419 0.0000 1
Sn1 0.1385 0.6385 0.5000 1
I1 0.0000 0.0000 0.5000 1
```

=====

Result of the stability comparison: two is the least stable of them.

=====

one | Compound: SrAg2I4
Source: the Alexandria database
Functional: PBE
Structure: relaxed

Results
- Fermi-level density of states (states/eV per cell) = 0.0

CIF file:
```
data_SrAg2I4
_chemical_formula_sum 'Sr1 Ag2 I4'
_cell_length_a 6.6817
_cell_length_b 6.6817
_cell_length_c 7.0565
_cell_angle_alpha 90.00
_cell_angle_beta 90.00
_cell_angle_gamma 90.00
_space_group_name_H-M_alt 'P -4 2 m'
_space_group_IT_number 111
loop_
_space_group_symop_operation_xyz
'x,y,z'
'y,-x,-z'
'-x,-y,z'
'-y,x,-z'
'x,-y,-z'
'y,x,z'
'-x,y,-z'
'-y,-x,z'
loop_
_atom_site_label
_atom_site_fract_x
_atom_site_fract_y
_atom_site_fract_z
_atom_site_occupancy
Sr1 0.0000 0.0000 0.0000 1
Ag1 0.0000 0.5000 0.5000 1
I1 0.2706 0.2706 0.2679 1
```

=====

two | Compound: SrAg2I4
Source: the Alexandria database
Functional: PBE
Structure: relaxed

Results
- Fermi-level density of states (states/eV per cell) = 0.0

CIF file:
```
data_SrAg2I4
_chemical_formula_sum 'Sr2 Ag4 I8'
_cell_length_a 15.3536
_cell_length_b 4.8598
_cell_length_c 8.0467
_cell_angle_alpha 90.00
_cell_angle_beta 102.48
_cell_angle_gamma 90.00
_space_group_name_H-M_alt 'C 1 2/m 1'
_space_group_IT_number 12
loop_
_space_group_symop_operation_xyz
'x,y,z'
'-x,-y,-z'
'-x,y,-z'
'x,-y,z'
'x+1/2,y+1/2,z'
'-x+1/2,-y+1/2,-z'
'-x+1/2,y+1/2,-z'
'x+1/2,-y+1/2,z'
loop_
_atom_site_label
_atom_site_fract_x
_atom_site_fract_y
_atom_site_fract_z
_atom_site_occupancy
Sr1 0.0000 0.0000 0.0000 1
Ag1 0.1685 0.5000 0.5849 1
I1 0.1255 0.5000 0.9064 1
I2 0.1321 0.0000 0.3914 1
```

=====

Result of the stability comparison: one is the least stable of them.

=====

one | Compound: SrAg2I
Source: the Alexandria database
Functional: PBE
Structure: relaxed

Results
- Fermi-level density of states (states/eV per cell) = 10.0

CIF file:
```
data_SrAg2I
_chemical_formula_sum 'Sr4 Ag8 I4'
_cell_length_a 7.7178
_cell_length_b 7.7178
_cell_length_c 7.7178
_cell_angle_alpha 90.00
_cell_angle_beta 90.00
_cell_angle_gamma 90.00
_space_group_name_H-M_alt 'F m -3 m'
_space_group_IT_number 225
_space_group_name_Hall '-F 4 2 3'
loop_
_atom_site_label
_atom_site_fract_x
_atom_site_fract_y
_atom_site_fract_z
_atom_site_occupancy
Sr1 0.0000 0.0000 0.0000 1
Ag1 0.2500 0.2500 0.2500 1
I1 0.0000 0.0000 0.5000 1
```

=====

two | Compound: SrAg2I
Source: the Alexandria database
Functional: PBE
Structure: relaxed

Results
- Fermi-level density of states (states/eV per cell) = 8.6

CIF file:
```
data_SrAg2I
_chemical_formula_sum 'Sr4 Ag8 I4'
_cell_length_a 9.1580
_cell_length_b 9.1580
_cell_length_c 6.1257
_cell_angle_alpha 90.00
_cell_angle_beta 90.00
_cell_angle_gamma 90.00
_space_group_name_H-M_alt 'I -4 2 d'
_space_group_IT_number 122
_space_group_name_Hall 'I -4 2bw'
loop_
_atom_site_label
_atom_site_fract_x
_atom_site_fract_y
_atom_site_fract_z
_atom_site_occupancy
Sr1 0.0000 0.0000 0.0000 1
Ag1 0.2341 0.7500 0.6250 1
I1 0.0000 0.0000 0.5000 1
```

=====

Result of the stability comparison: one is the least stable of them.

=====

one | Compound: SrAgTe2I
Source: the Alexandria database
Functional: PBE
Structure: relaxed

Results
- Fermi-level density of states (states/eV per cell) = 2.7

CIF file:
```
data_SrAgTe2I
_chemical_formula_sum 'Sr1 Ag1 Te2 I1'
_cell_length_a 5.4909
_cell_length_b 5.4909
_cell_length_c 5.8440
_cell_angle_alpha 90.00
_cell_angle_beta 90.00
_cell_angle_gamma 90.00
_space_group_name_H-M_alt 'P 4/m m m'
_space_group_IT_number 123
_space_group_name_Hall '-P 4 2'
loop_
_atom_site_label
_atom_site_fract_x
_atom_site_fract_y
_atom_site_fract_z
_atom_site_occupancy
Sr1 0.0000 0.0000 0.0000 1
Ag1 0.5000 0.5000 0.5000 1
Te1 0.0000 0.5000 0.5000 1
I1 0.5000 0.5000 0.0000 1
```

=====

two | Compound: SrAgTe2I
Source: the Alexandria database
Functional: PBE
Structure: relaxed

Results
- Fermi-level density of states (states/eV per cell) = 5.5

CIF file:
```
data_SrAgTe2I
_chemical_formula_sum 'Sr1 Ag1 Te2 I1'
_cell_length_a 6.3204
_cell_length_b 6.3204
_cell_length_c 6.2674
_cell_angle_alpha 90.00
_cell_angle_beta 90.00
_cell_angle_gamma 90.00
_space_group_name_H-M_alt 'P 4/m m m'
_space_group_IT_number 123
_space_group_name_Hall '-P 4 2'
loop_
_atom_site_label
_atom_site_fract_x
_atom_site_fract_y
_atom_site_fract_z
_atom_site_occupancy
Sr1 0.0000 0.0000 0.0000 1
Ag1 0.5000 0.5000 0.5000 1
Te1 0.0000 0.5000 0.0000 1
I1 0.0000 0.0000 0.5000 1
```

=====

Result of the stability comparison: two is the least stable of them.

=====

one | Compound: TaAgI6
Source: the Alexandria database
Functional: PBE
Structure: relaxed

CIF file:
```
data_TaAgI6
_chemical_formula_sum 'Ta1 Ag1 I6'
_cell_length_a 7.2744
_cell_length_b 7.2765
_cell_length_c 7.7916
_cell_angle_alpha 117.79
_cell_angle_beta 90.05
_cell_angle_gamma 119.96
_space_group_name_H-M_alt 'P -1'
_space_group_IT_number 2
loop_
_space_group_symop_operation_xyz
'x,y,z'
'-x,-y,-z'
loop_
_atom_site_label
_atom_site_fract_x
_atom_site_fract_y
_atom_site_fract_z
_atom_site_occupancy
Ta1 0.0000 0.0000 0.0000 1
Ag1 0.5000 0.0000 0.5000 1
I1 0.0739 0.8449 0.2411 1
I2 0.2289 0.8330 0.7592 1
I3 0.3958 0.4693 0.2406 1
```

=====

two | Compound: TaAgI6
Source: the Alexandria database
Functional: PBE
Structure: relaxed

Results
- Fermi-level density of states (states/eV per cell) = 1.4

CIF file:
```
data_TaAgI6
_chemical_formula_sum 'Ta2 Ag2 I12'
_cell_length_a 7.3839
_cell_length_b 13.2917
_cell_length_c 7.3161
_cell_angle_alpha 90.00
_cell_angle_beta 111.35
_cell_angle_gamma 90.00
_space_group_name_H-M_alt 'C 1 2/m 1'
_space_group_IT_number 12
loop_
_space_group_symop_operation_xyz
'x,y,z'
'-x,-y,-z'
'-x,y,-z'
'x,-y,z'
'x+1/2,y+1/2,z'
'-x+1/2,-y+1/2,-z'
'-x+1/2,y+1/2,-z'
'x+1/2,-y+1/2,z'
loop_
_atom_site_label
_atom_site_fract_x
_atom_site_fract_y
_atom_site_fract_z
_atom_site_occupancy
Ta1 0.0000 0.0000 0.0000 1
Ag1 0.0000 0.5000 0.5000 1
I1 0.2286 0.0000 0.7774 1
I2 0.2311 0.1513 0.2371 1
```

=====

Result of the stability comparison: two is the least stable of them.

=====

one | Compound: Ta3AgI
Source: the Alexandria database
Functional: PBE
Structure: relaxed

Results
- Fermi-level density of states (states/eV per cell) = 7.3

CIF file:
```
data_Ta3AgI
_chemical_formula_sum 'Ta3 Ag1 I1'
_cell_length_a 4.9893
_cell_length_b 4.9893
_cell_length_c 4.9893
_cell_angle_alpha 90.00
_cell_angle_beta 90.00
_cell_angle_gamma 90.00
_space_group_name_H-M_alt 'P m -3 m'
_space_group_IT_number 221
_space_group_name_Hall '-P 4 2 3'
loop_
_atom_site_label
_atom_site_fract_x
_atom_site_fract_y
_atom_site_fract_z
_atom_site_occupancy
Ta1 0.0000 0.0000 0.5000 1
Ag1 0.5000 0.5000 0.5000 1
I1 0.0000 0.0000 0.0000 1
```

=====

two | Compound: Ta3AgI
Source: the Alexandria database
Functional: PBE
Structure: relaxed

Results
- Fermi-level density of states (states/eV per cell) = 6.2

CIF file:
```
data_Ta3AgI
_chemical_formula_sum 'Ta3 Ag1 I1'
_cell_length_a 4.9892
_cell_length_b 4.9892
_cell_length_c 4.9892
_cell_angle_alpha 90.00
_cell_angle_beta 90.00
_cell_angle_gamma 90.00
_space_group_name_H-M_alt 'P m -3 m'
_space_group_IT_number 221
_space_group_name_Hall '-P 4 2 3'
loop_
_atom_site_label
_atom_site_fract_x
_atom_site_fract_y
_atom_site_fract_z
_atom_site_occupancy
Ta1 0.0000 0.0000 0.5000 1
Ag1 0.0000 0.0000 0.0000 1
I1 0.5000 0.5000 0.5000 1
```

=====

Result of the stability comparison: one is the least stable of them.